Entry from Alexandria: a relaxed Sr2TaRe crystal (GGA-PBE).

a = 4.0985 Å, b = 4.0985 Å, c = 5.4874 Å
α = 90.00°, β = 90.00°, γ = 90.00°
Closest atoms and distances in Å follow each position.
Space group P4/mmm (No. 123)
Asymmetric unit:
Sr1 0.0000 0.5000 0.0000 (multiplicity 2)  4 Sr 2.90
Ta1 0.0000 0.0000 0.5000 (multiplicity 1)  4 Re 2.90
Re1 0.5000 0.5000 0.5000 (multiplicity 1)  4 Ta 2.90

Computed properties:
**Size of the total moment**: 0.00 μB per cell
**Relative energy among the computed polymorphs**: 702 meV/atom
**Theoretical density**: 9.771 Mg/m³
**Electronic total energy**: -5.808 eV per atom